[1]
Compound: Zr2TaSi
Source: Alexandria
Functional: PBE-GGA
Structure: relaxed

Values from the calculation:
mass density: 8.41 Mg/m³
formation energy without anion corrections: -176 meV/atom
size of the total moment: 0.00 μB/f.u.
total energy: -0.645 Ry/atom

Cell lengths 3.0419, 3.0419, 8.5671 Å; angles 90.00, 90.00, 102.88 degrees
Closest atoms and distances in Å follow each position.
Fractional coordinates of all 4 atoms:
Zr1 0.0000 0.0000 0.0193  2 Si 2.74, 2 Ta 2.99, 4 Zr 3.04
Ta1 0.5000 0.5000 0.7500  8 Zr 2.99-3.31, 4 Ta 3.04
Zr2 0.0000 0.0000 0.4807  2 Si 2.74, 2 Ta 2.99, 4 Zr 3.04
Si1 0.5000 0.5000 0.2500  4 Zr 2.74, 4 Si 3.04

[2]
Compound: NaSn3S6
Source: Alexandria
Functional: PBE-GGA
Structure: relaxed

Values from the calculation:
mass density: 3.77 Mg/m³
formation energy without anion corrections: -472 meV/atom
size of the total moment: 0.00 μB/f.u.
total energy: -0.315 Ry/atom

Cell lengths 3.7352, 11.1207, 13.0749 Å; angles 112.04, 90.00, 90.00 degrees
Closest atoms and distances in Å follow each position.
Fractional coordinates of all 20 atoms:
Sn1 0.2500 0.5832 0.4219  6 S 2.56-2.62
Na1 0.7500 0.6343 0.9244  7 S 2.93-3.08
S1 0.2500 0.6399 0.1045  2 Sn 2.56
S2 0.2500 0.3510 0.4291  3 Sn 2.60-2.62
S3 0.7500 0.9652 0.2525  3 Sn 2.58-2.64
S4 0.7500 0.5046 0.2718  3 Sn 2.61-2.66
S5 0.2500 0.8471 0.9392  3 Sn 2.56-2.76
S6 0.7500 0.6490 0.5709  3 Sn 2.60-2.62
S7 0.2500 0.8024 0.4004  3 Sn 2.56-2.64
Sn2 0.7500 0.4168 0.5781  6 S 2.56-2.62
Sn3 0.2500 0.0211 0.1347  5 S 2.56-2.76
S8 0.7500 0.3601 0.8955  2 Sn 2.56
S9 0.2500 0.4954 0.7282  3 Sn 2.61-2.66
Na2 0.2500 0.3657 0.0756  7 S 2.93-3.08
Sn4 0.2500 0.2693 0.7535  6 S 2.56-2.66
S10 0.7500 0.1976 0.5996  3 Sn 2.56-2.64
S11 0.2500 0.0348 0.7475  3 Sn 2.58-2.64
Sn5 0.7500 0.7307 0.2465  6 S 2.56-2.66
Sn6 0.7500 0.9789 0.8653  5 S 2.56-2.76
S12 0.7500 0.1529 0.0608  3 Sn 2.56-2.76

[3]
Compound: EuTmPbAu
Source: Alexandria
Functional: PBE-GGA
Structure: relaxed

Values from the calculation:
mass density: 11.20 Mg/m³
energy relative to the elements: -623 meV per atom
size of the total moment: 7.15 μB/f.u.
total energy: -0.445 Ry/atom

Cell lengths 5.3367, 5.3367, 5.3367 Å; angles 60.00, 60.00, 60.00 degrees
Closest atoms and distances in Å follow each position.
Fractional coordinates of all 4 atoms:
Tm1 0.2500 0.2500 0.2500  4 Pb 3.27, 4 Au 3.27
Au1 0.0000 0.0000 0.0000  4 Eu 3.27, 4 Tm 3.27
Eu1 0.7500 0.7500 0.7500  4 Pb 3.27, 4 Au 3.27
Pb1 0.5000 0.5000 0.5000  4 Eu 3.27, 4 Tm 3.27

[4]
Compound: Na2TiZnRu
Source: Alexandria
Functional: PBE-GGA
Structure: relaxed

Values from the calculation:
mass density: 3.94 Mg/m³
energy relative to the elements: 1296 meV per atom
size of the total moment: 0.00 μB/f.u.
total energy: -0.215 Ry/atom

Cell lengths 4.6244, 5.1243, 4.6244 Å; angles 90.00, 90.00, 90.00 degrees
Closest atoms and distances in Å follow each position.
Fractional coordinates of all 5 atoms:
Na1 0.5000 0.0000 0.0000  2 Zn 2.31
Zn1 0.0000 0.0000 0.0000  4 Na 2.31, 2 Ti 2.56
Ru1 0.5000 0.5000 0.5000  4 Ti 3.27, 8 Na 3.45
Ti1 0.0000 0.5000 0.0000  2 Zn 2.56
Na2 0.0000 0.0000 0.5000  2 Zn 2.31

[5]
Compound: La2Er6In
Source: Alexandria
Functional: PBE-GGA
Structure: relaxed

Values from the calculation:
mass density: 8.31 Mg/m³
energy relative to the elements: -16 meV per atom
size of the total moment: 0.00 μB/f.u.
total energy: -0.328 Ry/atom

Cell lengths 5.5442, 9.7285, 10.3425 Å; angles 90.00, 90.02, 90.00 degrees
Closest atoms and distances in Å follow each position.
Fractional coordinates of all 18 atoms:
Er1 0.0000 0.0144 0.1746  3 La 3.28-3.33, 1 In 3.37, 4 Er 3.43-3.62
Er2 0.0002 0.3226 0.4234  1 In 3.24, 3 Er 3.36-3.49, 3 La 3.37-3.56
La1 0.0001 0.3131 0.7489  10 Er 3.28-3.66
Er3 0.5000 0.5143 0.3254  3 La 3.28-3.33, 1 In 3.37, 4 Er 3.43-3.62
La2 0.9999 0.6869 0.2511  10 Er 3.28-3.66
Er4 0.5000 0.8574 0.4000  2 In 3.27, 3 Er 3.36-3.46, 4 La 3.57-3.66
La3 0.5001 0.1869 0.2488  10 Er 3.28-3.66
In1 0.5000 0.5000 0.0000  8 Er 3.24-3.37
Er5 0.0000 0.6425 0.9000  2 In 3.27, 3 Er 3.36-3.46, 4 La 3.57-3.66
Er6 0.5000 0.1426 0.6000  2 In 3.27, 3 Er 3.36-3.46, 4 La 3.57-3.66
Er7 0.0000 0.3575 0.1000  2 In 3.27, 3 Er 3.36-3.46, 4 La 3.57-3.66
Er8 0.5002 0.1775 0.9235  1 In 3.24, 3 Er 3.36-3.49, 3 La 3.37-3.56
Er9 0.0000 0.9856 0.8254  3 La 3.28-3.33, 1 In 3.37, 4 Er 3.43-3.62
In2 0.0000 0.0000 0.5000  8 Er 3.24-3.37
Er10 0.4998 0.8225 0.0765  1 In 3.24, 3 Er 3.36-3.49, 3 La 3.37-3.56
La4 0.4999 0.8131 0.7512  10 Er 3.28-3.66
Er11 0.9998 0.6774 0.5766  1 In 3.24, 3 Er 3.36-3.49, 3 La 3.37-3.56
Er12 0.5000 0.4857 0.6746  3 La 3.28-3.33, 1 In 3.37, 4 Er 3.43-3.62

[6]
Compound: La5Eu3H12
Source: Alexandria
Functional: PBE-GGA
Structure: relaxed

Values from the calculation:
mass density: 5.58 Mg/m³
size of the total moment: 24.26 μB/f.u.
total energy: -0.381 Ry/atom

Cell lengths 12.1578, 12.1578, 12.1578 Å; angles 109.47, 109.47, 109.47 degrees
Closest atoms and distances in Å follow each position.
Fractional coordinates of all 80 atoms:
H1 0.7239 0.5710 0.1610  2 La 2.34-2.40, 2 Eu 2.42-2.61, 1 H 2.52
H2 0.5900 0.6530 0.4290  2 La 2.34-2.40, 2 Eu 2.42-2.61, 1 H 2.52
H3 0.8470 0.2761 0.4370  2 La 2.34-2.40, 2 Eu 2.42-2.61, 1 H 2.52
La1 0.1250 0.7500 0.3750  4 H 2.34
Eu1 0.2500 0.1250 0.3750  8 H 2.42-2.61
H4 0.4370 0.7761 0.8470  2 La 2.34-2.40, 2 Eu 2.42-2.61, 1 H 2.52
H5 0.2761 0.4290 0.8390  2 La 2.34-2.40, 2 Eu 2.42-2.61, 1 H 2.52
Eu2 0.3750 0.7500 0.6250  8 H 2.42-2.61
H6 0.5630 0.3390 0.9100  2 La 2.34-2.40, 2 Eu 2.42-2.61, 1 H 2.52
Eu3 0.2500 0.6250 0.8750  8 H 2.42-2.61
H7 0.0630 0.4100 0.8390  2 La 2.34-2.40, 2 Eu 2.42-2.61, 1 H 2.52
H8 0.7239 0.1530 0.0630  2 La 2.34-2.40, 2 Eu 2.42-2.61, 1 H 2.52
La2 0.8750 0.2500 0.6250  4 H 2.34
H9 0.9370 0.3470 0.2761  2 La 2.34-2.40, 2 Eu 2.42-2.61, 1 H 2.52
H10 0.4100 0.0630 0.3390  2 La 2.34-2.40, 2 Eu 2.42-2.61, 1 H 2.52
H11 0.9290 0.0900 0.6530  2 La 2.34-2.40, 2 Eu 2.42-2.61, 1 H 2.52
H12 0.4290 0.2761 0.3390  2 La 2.34-2.40, 2 Eu 2.42-2.61, 1 H 2.52
H13 0.2239 0.5630 0.6530  2 La 2.34-2.40, 2 Eu 2.42-2.61, 1 H 2.52
Eu4 0.1250 0.2500 0.8750  8 H 2.42-2.61
La3 0.0000 0.0000 0.0000  6 H 2.40
H14 0.5710 0.7239 0.6610  2 La 2.34-2.40, 2 Eu 2.42-2.61, 1 H 2.52
La4 0.6250 0.8750 0.2500  4 H 2.34
Eu5 0.8750 0.7500 0.1250  8 H 2.42-2.61
H15 0.0710 0.1610 0.2239  2 La 2.34-2.40, 2 Eu 2.42-2.61, 1 H 2.52
Eu6 0.7500 0.3750 0.1250  8 H 2.42-2.61
La5 0.0000 0.5000 0.0000  6 H 2.40
H16 0.3390 0.5630 0.4100  2 La 2.34-2.40, 2 Eu 2.42-2.61, 1 H 2.52
La6 0.7500 0.1250 0.8750  4 H 2.34
La7 0.6250 0.7500 0.8750  4 H 2.34
H17 0.5630 0.2239 0.1530  2 La 2.34-2.40, 2 Eu 2.42-2.61, 1 H 2.52
H18 0.0900 0.1610 0.4370  2 La 2.34-2.40, 2 Eu 2.42-2.61, 1 H 2.52
H19 0.1610 0.0900 0.9370  2 La 2.34-2.40, 2 Eu 2.42-2.61, 1 H 2.52
H20 0.9100 0.8390 0.5630  2 La 2.34-2.40, 2 Eu 2.42-2.61, 1 H 2.52
H21 0.4370 0.6610 0.0900  2 La 2.34-2.40, 2 Eu 2.42-2.61, 1 H 2.52
H22 0.9100 0.0710 0.8470  2 La 2.34-2.40, 2 Eu 2.42-2.61, 1 H 2.52
La8 0.0000 0.0000 0.5000  6 H 2.40
H23 0.2761 0.8470 0.9370  2 La 2.34-2.40, 2 Eu 2.42-2.61, 1 H 2.52
H24 0.4290 0.1530 0.5900  2 La 2.34-2.40, 2 Eu 2.42-2.61, 1 H 2.52
H25 0.1530 0.4290 0.0900  2 La 2.34-2.40, 2 Eu 2.42-2.61, 1 H 2.52
H26 0.1610 0.0710 0.7239  2 La 2.34-2.40, 2 Eu 2.42-2.61, 1 H 2.52
H27 0.8390 0.9290 0.2761  2 La 2.34-2.40, 2 Eu 2.42-2.61, 1 H 2.52
La9 0.2500 0.8750 0.1250  4 H 2.34
H28 0.5900 0.9370 0.6610  2 La 2.34-2.40, 2 Eu 2.42-2.61, 1 H 2.52
H29 0.8390 0.9100 0.0630  2 La 2.34-2.40, 2 Eu 2.42-2.61, 1 H 2.52
H30 0.9370 0.5900 0.1610  2 La 2.34-2.40, 2 Eu 2.42-2.61, 1 H 2.52
Eu7 0.1250 0.8750 0.7500  8 H 2.42-2.61
H31 0.7761 0.3390 0.9290  2 La 2.34-2.40, 2 Eu 2.42-2.61, 1 H 2.52
H32 0.2239 0.6610 0.0710  2 La 2.34-2.40, 2 Eu 2.42-2.61, 1 H 2.52
H33 0.4100 0.3470 0.5710  2 La 2.34-2.40, 2 Eu 2.42-2.61, 1 H 2.52
H34 0.3470 0.4100 0.0710  2 La 2.34-2.40, 2 Eu 2.42-2.61, 1 H 2.52
H35 0.6530 0.5900 0.9290  2 La 2.34-2.40, 2 Eu 2.42-2.61, 1 H 2.52
La10 0.8750 0.6250 0.7500  4 H 2.34
La11 0.1250 0.3750 0.2500  4 H 2.34
H36 0.6530 0.0630 0.2239  2 La 2.34-2.40, 2 Eu 2.42-2.61, 1 H 2.52
Eu8 0.7500 0.8750 0.6250  8 H 2.42-2.61
H37 0.3390 0.7761 0.4290  2 La 2.34-2.40, 2 Eu 2.42-2.61, 1 H 2.52
H38 0.6610 0.4370 0.5900  2 La 2.34-2.40, 2 Eu 2.42-2.61, 1 H 2.52
Eu9 0.8750 0.1250 0.2500  8 H 2.42-2.61
H39 0.3470 0.9370 0.7761  2 La 2.34-2.40, 2 Eu 2.42-2.61, 1 H 2.52
La12 0.7500 0.6250 0.3750  4 H 2.34
H40 0.8470 0.5710 0.9100  2 La 2.34-2.40, 2 Eu 2.42-2.61, 1 H 2.52
H41 0.6610 0.2239 0.5710  2 La 2.34-2.40, 2 Eu 2.42-2.61, 1 H 2.52
H42 0.7761 0.4370 0.3470  2 La 2.34-2.40, 2 Eu 2.42-2.61, 1 H 2.52
La13 0.5000 0.5000 0.5000  6 H 2.40
La14 0.3750 0.1250 0.7500  4 H 2.34
La15 0.5000 0.5000 0.0000  6 H 2.40
H43 0.5710 0.8470 0.4100  2 La 2.34-2.40, 2 Eu 2.42-2.61, 1 H 2.52
La16 0.5000 0.0000 0.0000  6 H 2.40
Eu10 0.6250 0.3750 0.7500  8 H 2.42-2.61
H44 0.0900 0.9290 0.1530  2 La 2.34-2.40, 2 Eu 2.42-2.61, 1 H 2.52
H45 0.0710 0.9100 0.3470  2 La 2.34-2.40, 2 Eu 2.42-2.61, 1 H 2.52
Eu11 0.6250 0.2500 0.3750  8 H 2.42-2.61
H46 0.1530 0.7239 0.5630  2 La 2.34-2.40, 2 Eu 2.42-2.61, 1 H 2.52
H47 0.9290 0.8390 0.7761  2 La 2.34-2.40, 2 Eu 2.42-2.61, 1 H 2.52
Eu12 0.3750 0.6250 0.2500  8 H 2.42-2.61
La17 0.3750 0.2500 0.1250  4 H 2.34
H48 0.0630 0.6530 0.7239  2 La 2.34-2.40, 2 Eu 2.42-2.61, 1 H 2.52
La18 0.5000 0.0000 0.5000  6 H 2.40
La19 0.2500 0.3750 0.6250  4 H 2.34
La20 0.0000 0.5000 0.5000  6 H 2.40

[7]
Compound: NpZnOsRu
Source: Alexandria
Functional: PBE-GGA
Structure: relaxed

Values from the calculation:
mass density: 14.90 Mg/m³
energy relative to the elements: 37 meV per atom
size of the total moment: 2.34 μB/f.u.
total energy: -0.635 Ry/atom

Cell lengths 4.5398, 4.5398, 4.5398 Å; angles 60.00, 60.00, 60.00 degrees
Closest atoms and distances in Å follow each position.
Fractional coordinates of all 4 atoms:
Np1 0.5000 0.5000 0.5000  4 Ru 2.78, 4 Os 2.78
Os1 0.7500 0.7500 0.7500  4 Np 2.78, 4 Zn 2.78
Zn1 0.0000 0.0000 0.0000  4 Os 2.78, 4 Ru 2.78
Ru1 0.2500 0.2500 0.2500  4 Np 2.78, 4 Zn 2.78

[8]
Compound: BaFeReSi2
Source: Alexandria
Functional: PBE-GGA
Structure: relaxed

Values from the calculation:
mass density: 4.96 Mg/m³
formation energy without anion corrections: 3362 meV/atom
size of the total moment: 0.03 μB/f.u.
total energy: -0.248 Ry/atom

Cell lengths 5.3152, 5.1574, 5.3152 Å; angles 90.00, 90.00, 90.00 degrees
Closest atoms and distances in Å follow each position.
Fractional coordinates of all 5 atoms:
Ba1 0.0000 0.0000 0.0000  2 Re 2.58, 4 Si 2.66
Fe1 0.5000 0.5000 0.5000  8 Si 3.70, 4 Re 3.76
Si1 0.5000 0.0000 0.0000  2 Ba 2.66
Re1 0.0000 0.5000 0.0000  2 Ba 2.58
Si2 0.0000 0.0000 0.5000  2 Ba 2.66

[9]
Compound: BeWSe2
Source: Alexandria
Functional: PBE-GGA
Structure: relaxed

Values from the calculation:
mass density: 6.65 Mg/m³
formation energy without anion corrections: 56 meV/atom
size of the total moment: 0.00 μB/f.u.
total energy: -0.430 Ry/atom

Cell lengths 4.5146, 4.5146, 6.3507 Å; angles 87.80, 87.80, 42.65 degrees
Closest atoms and distances in Å follow each position.
Fractional coordinates of all 4 atoms:
Be1 0.2156 0.2156 0.3396  3 Se 2.16-2.31
Se1 0.7747 0.7747 0.5801  2 Be 2.31, 1 W 2.55
Se2 0.0157 0.0157 0.1370  1 Be 2.16
W1 0.4940 0.4940 0.4433  3 Be 2.46-2.55, 5 Se 2.55-2.59

[10]
Compound: BaSm2IrO8
Source: Alexandria
Functional: PBE-GGA
Structure: relaxed

Values from the calculation:
mass density: 7.88 Mg/m³
formation energy without anion corrections: -2080 meV/atom
size of the total moment: 2.50 μB/f.u.
total energy: -0.520 Ry/atom

Cell lengths 5.4525, 4.2673, 7.2212 Å; angles 72.01, 90.85, 90.49 degrees
Closest atoms and distances in Å follow each position.
Fractional coordinates of all 12 atoms:
O1 0.7142 0.8092 0.9000  1 Ir 1.98
O2 0.2858 0.1908 0.1000  1 Ir 1.98
O3 0.0356 0.6404 0.2447  1 Ir 1.96
O4 0.9644 0.3596 0.7553  1 Ir 1.96
Ba1 0.0000 0.0000 0.5000  10 O 2.75-2.90
O5 0.7443 0.1717 0.1271  1 Ir 1.95
O6 0.5017 0.1751 0.4996  1 O 1.49
Sm1 0.5156 0.3615 0.8024  9 O 2.41-2.63
O7 0.2557 0.8283 0.8729  1 Ir 1.95
O8 0.4983 0.8249 0.5004  1 O 1.49
Sm2 0.4844 0.6385 0.1976  9 O 2.41-2.63
Ir1 0.0000 0.0000 0.0000  6 O 1.95-1.98

[11]
Compound: AuSeBr4
Source: Alexandria
Functional: PBE-GGA
Structure: relaxed

Values from the calculation:
excess energy over the best structure of this formula in the dataset: 0 meV/atom
mass density: 4.19 Mg/m³
formation energy without anion corrections: -5 meV/atom
size of the total moment: 0.00 μB/f.u.
total energy: -0.165 Ry/atom

Cell lengths 7.0302, 7.4180, 9.8016 Å; angles 67.77, 88.29, 85.48 degrees
Closest atoms and distances in Å follow each position.
Fractional coordinates of all 12 atoms:
Br1 0.5944 0.9771 0.1487  1 Au 2.41
Br2 0.4056 0.0229 0.8513  1 Au 2.41
Se1 0.7500 0.0580 0.3840  2 Br 2.53
Br3 0.5509 0.7351 0.6103  1 Se 2.53
Br4 0.4491 0.2649 0.3897  1 Se 2.53
Br5 0.0509 0.8455 0.3897  1 Se 2.53
Se2 0.2500 0.9420 0.6160  2 Br 2.53
Br6 0.9056 0.3742 0.1487  1 Au 2.41
Br7 0.9491 0.1545 0.6103  1 Se 2.53
Au1 0.7500 0.6696 0.1608  2 Br 2.41
Br8 0.0944 0.6258 0.8513  1 Au 2.41
Au2 0.2500 0.3304 0.8392  2 Br 2.41

[12]
Compound: BeCrC
Source: Alexandria
Functional: PBE-GGA
Structure: relaxed

Values from the calculation:
mass density: 4.50 Mg/m³
energy relative to the elements: 121 meV per atom
size of the total moment: 1.07 μB/f.u.
total energy: -0.544 Ry/atom

Cell lengths 3.2120, 3.2120, 5.2230 Å; angles 90.00, 90.00, 90.00 degrees
Closest atoms and distances in Å follow each position.
Fractional coordinates of all 6 atoms:
Cr1 0.5158 0.5158 0.5000  4 C 2.07
C1 0.0159 0.5155 0.7500  2 Be 1.61
Be1 0.0155 0.0155 0.7500  2 C 1.61
C2 0.5155 0.0159 0.2500  2 Be 1.61
Cr2 0.5158 0.5158 0.0000  4 C 2.07
Be2 0.0155 0.0155 0.2500  2 C 1.61